(1)
This record from Alexandria describes a geometry-optimized TlCuBS2 structure. The functional is PBE.

a = 4.0764 Å, b = 6.2491 Å, c = 9.4876 Å
α = 109.23°, β = 90.00°, γ = 90.00°
Positions (direct):
Tl1 0.2033 0.7500 0.5000
Tl2 0.7967 0.2500 0.5000
Cu1 0.5000 0.7500 0.0000
Cu2 0.5000 0.2500 0.0000
B1 0.0000 0.0000 0.0000
B2 0.0000 0.5000 0.0000
S1 0.7657 0.9202 0.8405
S2 0.7657 0.5798 0.1595
S3 0.2343 0.4202 0.8405
S4 0.2343 0.0798 0.1595

formation energy without anion corrections: -3 kJ per mole of atoms

(2)
This record from Alexandria describes a geometry-optimized CoNi structure. The functional is PBE.

a = 3.5917 Å, b = 3.5917 Å, c = 3.5917 Å
α = 60.00°, β = 60.00°, γ = 60.00°
Site moments in Bohr magnetons follow the coordinates.
Positions (direct):
Co1 0.0000 0.0000 0.0000  1.75
Ni1 0.2500 0.2500 0.2500  0.86

DFT formation energy: 1.22 eV per atom

(3)
This record from Alexandria describes a geometry-optimized BaTe6Mo6 structure. The functional is PBE.

a = 9.5796 Å, b = 9.5796 Å, c = 4.6245 Å
α = 90.00°, β = 90.00°, γ = 120.00°
Positions (direct):
Ba1 0.6667 0.3333 0.5000
Te1 0.3947 0.3593 0.0000
Te2 0.6407 0.0355 0.0000
Te3 0.9645 0.6053 0.0000
Te4 0.2633 0.9675 0.5000
Te5 0.0325 0.2958 0.5000
Te6 0.7042 0.7367 0.5000
Mo1 0.1897 0.4928 0.0000
Mo2 0.5072 0.6969 0.0000
Mo3 0.3031 0.8103 0.0000
Mo4 0.4747 0.8405 0.5000
Mo5 0.1595 0.6342 0.5000
Mo6 0.3658 0.5253 0.5000

formation energy without anion corrections: -47 kJ per mole of atoms

Number 1: D(E_F) 0.244 states/eV per atom, E_tot -4.31 eV/atom. Number 2: D(E_F) 1.235 states/eV per atom, E_tot -5.22 eV/atom. Number 3: D(E_F) 0.225 states/eV per atom, E_tot -7.08 eV/atom.